Below is an optimized crystal structure of RbNaLi2In, with properties calculated at the PBE-GGA level.

ΔE_f: 0.2 eV per formula unit

The structure in POSCAR format:
```
RbNaLi2In
1.0
5.576 0.000 0.000
0.000 5.576 0.000
0.000 0.000 5.982
Rb Na Li In
1 1 2 1
Cartesian
0.000 0.000 0.000
2.788 2.788 0.000
0.000 2.788 2.991
2.788 0.000 2.991
2.788 2.788 2.991
```

---

Below is an optimized crystal structure of Sb2WAu, with properties calculated at the PBE-GGA level.

Raw formation energy: 0.71 eV per atom

The structure in POSCAR format:
```
Sb2WAu
1.0
-2.066 2.066 4.864
2.066 -2.066 4.864
2.066 2.066 -4.864
Sb W Au
2 1 1
Cartesian
0.000 0.000 0.000
0.000 2.066 2.432
2.066 0.000 2.432
0.000 0.000 4.864
```